Entry from Alexandria: a geometry-optimized CrCoO2F structure (PBE with a Hubbard U).

Geometry as POSCAR:
```
CrCoO2F
1.0
3.5269 0.0000 0.0000
0.0000 5.3590 0.0000
0.0000 0.0000 3.5269
Cr Co O F
1 1 2 1
Cartesian
0.0000 0.0000 0.0000 Cr
0.0000 2.6795 0.0000 Co
0.0000 0.0000 1.7635 O
1.7635 0.0000 0.0000 O
1.7635 2.6795 1.7635 F
```

Properties
Its volume is 67 Å³/cell. The total energy comes out at -5.5372 eV per atom.